P) The following is a PBE calculation of an optimized crystal structure of MgMoPt3, from Alexandria via LeMat-Bulk.

Calculated volume ... 113.5 Å³ per cell
Space group ... Pm-3m, No. 221

Cell lengths 4.841, 4.841, 4.841 Å; angles 90.00, 90.00, 90.00 degrees
Fractional positions:
Mg  0.000  0.000  0.000
Mo  0.500  0.500  0.500
Pt  0.000  0.500  0.500
Pt  0.500  0.000  0.500
Pt  0.500  0.500  0.000

=====

Q) The following is a PBE calculation of an optimized crystal structure of MgMoPt3, from Alexandria via LeMat-Bulk.

Calculated volume ... 94.7 Å³ per cell
Space group ... Pm-3m, No. 221

Cell lengths 4.558, 4.558, 4.558 Å; angles 90.00, 90.00, 90.00 degrees
Fractional positions:
Mg  0.000  0.000  0.000
Mo  0.500  0.500  0.500
Pt  0.000  0.000  0.500
Pt  0.000  0.500  0.000
Pt  0.500  0.000  0.000

=====

Unit: meV/atom. Relative energies: P) 0; Q) 316.

=====

P) The following is a PBE calculation of an optimized crystal structure of Mg2Mo2Pt, from Alexandria via LeMat-Bulk.

Calculated volume ... 188.3 Å³ per cell
Space group ... I4/mmm, No. 139

Cell lengths 3.707, 3.707, 13.705 Å; angles 90.00, 90.00, 90.00 degrees
Fractional positions:
Mg  0.000  0.500  0.250
Mg  0.000  0.500  0.750
Mg  0.500  0.000  0.250
Mg  0.500  0.000  0.750
Mo  0.000  0.000  0.081
Mo  0.000  0.000  0.919
Mo  0.500  0.500  0.419
Mo  0.500  0.500  0.581
Pt  0.000  0.000  0.500
Pt  0.500  0.500  0.000

=====

Q) The following is a PBE calculation of an optimized crystal structure of Mg2Mo2Pt, from Alexandria via LeMat-Bulk.

Calculated volume ... 193.7 Å³ per cell
Space group ... P4/mbm, No. 127

Cell lengths 6.577, 6.577, 4.477 Å; angles 90.00, 90.00, 90.00 degrees
Fractional positions:
Mg  0.173  0.327  0.000
Mg  0.327  0.827  0.000
Mg  0.673  0.173  0.000
Mg  0.827  0.673  0.000
Mo  0.121  0.621  0.500
Mo  0.379  0.121  0.500
Mo  0.621  0.879  0.500
Mo  0.879  0.379  0.500
Pt  0.000  0.000  0.500
Pt  0.500  0.500  0.500

=====

Unit: meV/atom. Relative energies: P) 351; Q) 0.

=====

P) The following is a PBE calculation of an optimized crystal structure of Mg2Re2Mo, from Alexandria via LeMat-Bulk.

Calculated volume ... 157.8 Å³ per cell
Space group ... P4/mbm, No. 127

Cell lengths 7.039, 7.039, 3.185 Å; angles 90.00, 90.00, 90.00 degrees
Fractional positions:
Mg  0.125  0.375  0.000
Mg  0.375  0.875  0.000
Mg  0.625  0.125  0.000
Mg  0.875  0.625  0.000
Re  0.176  0.676  0.500
Re  0.324  0.176  0.500
Re  0.676  0.824  0.500
Re  0.824  0.324  0.500
Mo  0.000  0.000  0.000
Mo  0.500  0.500  0.000

=====

Q) The following is a PBE calculation of an optimized crystal structure of Mg2Re2Mo, from Alexandria via LeMat-Bulk.

Calculated volume ... 181.7 Å³ per cell
Space group ... I4/mmm, No. 139

Cell lengths 3.602, 3.602, 14.003 Å; angles 90.00, 90.00, 90.00 degrees
Fractional positions:
Mg  0.000  0.000  0.096
Mg  0.000  0.000  0.904
Mg  0.500  0.500  0.404
Mg  0.500  0.500  0.596
Re  0.000  0.500  0.250
Re  0.000  0.500  0.750
Re  0.500  0.000  0.250
Re  0.500  0.000  0.750
Mo  0.000  0.000  0.500
Mo  0.500  0.500  0.000

=====

Unit: meV/atom. Relative energies: P) 0; Q) 67.

=====

P) The following is a PBE calculation of an optimized crystal structure of Mg3MoRu, from Alexandria via LeMat-Bulk.

Calculated volume ... 127.6 Å³ per cell
Space group ... Pm-3m, No. 221

Cell lengths 5.035, 5.035, 5.035 Å; angles 90.00, 90.00, 90.00 degrees
Fractional positions:
Mg  0.000  0.000  0.500
Mg  0.000  0.500  0.000
Mg  0.500  0.000  0.000
Mo  0.000  0.000  0.000
Ru  0.500  0.500  0.500

=====

Q) The following is a PBE calculation of an optimized crystal structure of Mg3MoRu, from Alexandria via LeMat-Bulk.

Calculated volume ... 105.9 Å³ per cell
Space group ... Pm-3m, No. 221

Cell lengths 4.732, 4.732, 4.732 Å; angles 90.00, 90.00, 90.00 degrees
Fractional positions:
Mg  0.000  0.000  0.500
Mg  0.000  0.500  0.000
Mg  0.500  0.000  0.000
Mo  0.500  0.500  0.500
Ru  0.000  0.000  0.000

=====

Unit: meV/atom. Relative energies: P) 543; Q) 0.

=====

P) The following is a PBE calculation of an optimized crystal structure of MgMo2Ru2, from Alexandria via LeMat-Bulk.

Calculated volume ... 163.1 Å³ per cell
Space group ... P4/mbm, No. 127

Cell lengths 7.559, 7.559, 2.855 Å; angles 90.00, 90.00, 90.00 degrees
Fractional positions:
Mg  0.000  0.000  0.000
Mg  0.500  0.500  0.000
Mo  0.163  0.337  0.500
Mo  0.337  0.837  0.500
Mo  0.663  0.163  0.500
Mo  0.837  0.663  0.500
Ru  0.130  0.630  0.000
Ru  0.370  0.130  0.000
Ru  0.630  0.870  0.000
Ru  0.870  0.370  0.000

=====

Q) The following is a PBE calculation of an optimized crystal structure of MgMo2Ru2, from Alexandria via LeMat-Bulk.

Calculated volume ... 164.5 Å³ per cell
Space group ... P4/mbm, No. 127

Cell lengths 7.652, 7.652, 2.809 Å; angles 90.00, 90.00, 90.00 degrees
Fractional positions:
Mg  0.000  0.000  0.000
Mg  0.500  0.500  0.000
Mo  0.119  0.381  0.000
Mo  0.381  0.881  0.000
Mo  0.619  0.119  0.000
Mo  0.881  0.619  0.000
Ru  0.172  0.672  0.500
Ru  0.328  0.172  0.500
Ru  0.672  0.828  0.500
Ru  0.828  0.328  0.500

=====

Unit: meV/atom. Relative energies: P) 0; Q) 53.

=====

P) The following is a PBE calculation of an optimized crystal structure of MgMoS3, from Alexandria via LeMat-Bulk.

Calculated volume ... 104.2 Å³ per cell
Space group ... Pm-3m, No. 221

Cell lengths 4.705, 4.705, 4.705 Å; angles 90.00, 90.00, 90.00 degrees
Fractional positions:
Mg  0.000  0.000  0.000
Mo  0.500  0.500  0.500
S  0.000  0.500  0.500
S  0.500  0.000  0.500
S  0.500  0.500  0.000

=====

Q) The following is a PBE calculation of an optimized crystal structure of MgMoS3, from Alexandria via LeMat-Bulk.

Calculated volume ... 102.3 Å³ per cell
Space group ... Pm-3m, No. 221

Cell lengths 4.677, 4.677, 4.677 Å; angles 90.00, 90.00, 90.00 degrees
Fractional positions:
Mg  0.000  0.000  0.000
Mo  0.500  0.500  0.500
S  0.000  0.000  0.500
S  0.000  0.500  0.000
S  0.500  0.000  0.000

=====

Unit: meV/atom. Relative energies: P) 0; Q) 754.

=====

P) The following is a PBE calculation of an optimized crystal structure of Mg3MoS, from Alexandria via LeMat-Bulk.

Calculated volume ... 146.5 Å³ per cell
Space group ... Pm-3m, No. 221

Cell lengths 5.271, 5.271, 5.271 Å; angles 90.00, 90.00, 90.00 degrees
Fractional positions:
Mg  0.000  0.000  0.500
Mg  0.000  0.500  0.000
Mg  0.500  0.000  0.000
Mo  0.000  0.000  0.000
S  0.500  0.500  0.500

=====

Q) The following is a PBE calculation of an optimized crystal structure of Mg3MoS, from Alexandria via LeMat-Bulk.

Calculated volume ... 111.2 Å³ per cell
Space group ... Pm-3m, No. 221

Cell lengths 4.808, 4.808, 4.808 Å; angles 90.00, 90.00, 90.00 degrees
Fractional positions:
Mg  0.000  0.000  0.500
Mg  0.000  0.500  0.000
Mg  0.500  0.000  0.000
Mo  0.500  0.500  0.500
S  0.000  0.000  0.000

=====

Unit: meV/atom. Relative energies: P) 707; Q) 0.

=====

P) The following is a PBE calculation of an optimized crystal structure of MgMo2S, from Alexandria via LeMat-Bulk.

Calculated volume ... 267.5 Å³ per cell
Space group ... I-42d, No. 122

Cell lengths 3.719, 3.719, 19.344 Å; angles 90.00, 90.00, 90.00 degrees
Fractional positions:
Mg  0.000  0.000  0.000
Mg  0.000  0.500  0.250
Mg  0.500  0.000  0.750
Mg  0.500  0.500  0.500
Mo  0.230  0.250  0.625
Mo  0.250  0.730  0.875
Mo  0.250  0.770  0.375
Mo  0.270  0.250  0.125
Mo  0.730  0.750  0.125
Mo  0.750  0.230  0.375
Mo  0.750  0.270  0.875
Mo  0.770  0.750  0.625
S  0.000  0.000  0.500
S  0.000  0.500  0.750
S  0.500  0.000  0.250
S  0.500  0.500  0.000

=====

Q) The following is a PBE calculation of an optimized crystal structure of MgMo2S, from Alexandria via LeMat-Bulk.

Calculated volume ... 241.0 Å³ per cell
Space group ... Fm-3m, No. 225

Cell lengths 6.223, 6.223, 6.223 Å; angles 90.00, 90.00, 90.00 degrees
Fractional positions:
Mg  0.000  0.000  0.000
Mg  0.000  0.500  0.500
Mg  0.500  0.000  0.500
Mg  0.500  0.500  0.000
Mo  0.250  0.250  0.250
Mo  0.250  0.250  0.750
Mo  0.250  0.750  0.250
Mo  0.250  0.750  0.750
Mo  0.750  0.250  0.250
Mo  0.750  0.250  0.750
Mo  0.750  0.750  0.250
Mo  0.750  0.750  0.750
S  0.000  0.000  0.500
S  0.000  0.500  0.000
S  0.500  0.000  0.000
S  0.500  0.500  0.500

=====

Unit: meV/atom. Relative energies: P) 0; Q) 357.

=====

P) The following is a PBE calculation of an optimized crystal structure of Mg14SbMo, from Alexandria via LeMat-Bulk.

Calculated volume ... 348.2 Å³ per cell
Space group ... P-6m2, No. 187

Cell lengths 6.317, 6.317, 10.078 Å; angles 90.00, 90.00, 120.00 degrees
Fractional positions:
Mg  0.000  0.000  0.248
Mg  0.000  0.000  0.752
Mg  0.010  0.505  0.260
Mg  0.010  0.505  0.740
Mg  0.331  0.166  0.500
Mg  0.334  0.167  0.000
Mg  0.495  0.505  0.260
Mg  0.495  0.505  0.740
Mg  0.495  0.990  0.260
Mg  0.495  0.990  0.740
Mg  0.833  0.167  0.000
Mg  0.833  0.666  0.000
Mg  0.834  0.166  0.500
Mg  0.834  0.669  0.500
Sb  0.333  0.667  0.000
Mo  0.333  0.667  0.500

=====

Q) The following is a PBE calculation of an optimized crystal structure of Mg14SbMo, from Alexandria via LeMat-Bulk.

Calculated volume ... 349.2 Å³ per cell
Space group ... Amm2, No. 38

Cell lengths 10.281, 6.279, 6.279 Å; angles 59.47, 90.00, 90.00 degrees
Fractional positions:
Mg  0.000  0.000  0.000
Mg  0.000  0.003  0.499
Mg  0.000  0.499  0.003
Mg  0.000  0.499  0.499
Mg  0.245  0.667  0.667
Mg  0.257  0.161  0.161
Mg  0.258  0.160  0.674
Mg  0.258  0.674  0.160
Mg  0.500  0.499  0.999
Mg  0.500  0.999  0.499
Mg  0.742  0.160  0.674
Mg  0.742  0.674  0.160
Mg  0.743  0.161  0.161
Mg  0.755  0.667  0.667
Sb  0.500  0.506  0.506
Mo  0.500  0.998  0.998

=====

Unit: meV/atom. Relative energies: P) 0; Q) 16.

=====

P) The following is a PBE calculation of an optimized crystal structure of MgSbMo2, from Alexandria via LeMat-Bulk.

Calculated volume ... 73.3 Å³ per cell
Space group ... P2/m, No. 10

Cell lengths 2.921, 4.674, 5.396 Å; angles 90.00, 95.45, 90.00 degrees
Fractional positions:
Mg  0.000  0.000  0.000
Sb  0.500  0.000  0.500
Mo  0.336  0.500  0.774
Mo  0.664  0.500  0.226

=====

Q) The following is a PBE calculation of an optimized crystal structure of MgSbMo2, from Alexandria via LeMat-Bulk.

Calculated volume ... 237.4 Å³ per cell
Space group ... R3m, No. 160

Cell lengths 3.156, 3.156, 27.528 Å; angles 90.00, 90.00, 120.00 degrees
Fractional positions:
Mg  0.000  0.000  0.000
Mg  0.333  0.667  0.667
Mg  0.667  0.333  0.333
Sb  0.000  0.000  0.766
Sb  0.333  0.667  0.433
Sb  0.667  0.333  0.100
Mo  0.000  0.000  0.248
Mo  0.000  0.000  0.516
Mo  0.333  0.667  0.183
Mo  0.333  0.667  0.915
Mo  0.667  0.333  0.582
Mo  0.667  0.333  0.850

=====

R) The following is a PBE calculation of an optimized crystal structure of MgSbMo2, from Alexandria via LeMat-Bulk.

Calculated volume ... 147.0 Å³ per cell
Space group ... Cmmm, No. 65

Cell lengths 3.419, 4.791, 8.975 Å; angles 90.00, 90.00, 90.00 degrees
Fractional positions:
Mg  0.000  0.000  0.000
Mg  0.500  0.500  0.000
Sb  0.000  0.000  0.500
Sb  0.500  0.500  0.500
Mo  0.000  0.500  0.258
Mo  0.000  0.500  0.742
Mo  0.500  0.000  0.258
Mo  0.500  0.000  0.742

=====

Unit: meV/atom. Relative energies: P) 128; Q) 0; R) 317.

=====

P) The following is a PBE calculation of an optimized crystal structure of Mg3SbMo, from Alexandria via LeMat-Bulk.

Calculated volume ... 140.1 Å³ per cell
Space group ... Pm-3m, No. 221

Cell lengths 5.193, 5.193, 5.193 Å; angles 90.00, 90.00, 90.00 degrees
Fractional positions:
Mg  0.000  0.000  0.500
Mg  0.000  0.500  0.000
Mg  0.500  0.000  0.000
Sb  0.500  0.500  0.500
Mo  0.000  0.000  0.000

=====

Q) The following is a PBE calculation of an optimized crystal structure of Mg3SbMo, from Alexandria via LeMat-Bulk.

Calculated volume ... 150.4 Å³ per cell
Space group ... Pm-3m, No. 221

Cell lengths 5.318, 5.318, 5.318 Å; angles 90.00, 90.00, 90.00 degrees
Fractional positions:
Mg  0.000  0.000  0.500
Mg  0.000  0.500  0.000
Mg  0.500  0.000  0.000
Sb  0.000  0.000  0.000
Mo  0.500  0.500  0.500

=====

Unit: meV/atom. Relative energies: P) 0; Q) 53.

=====

P) The following is a PBE calculation of an optimized crystal structure of MgSb3Mo, from Alexandria via LeMat-Bulk.

Calculated volume ... 146.5 Å³ per cell
Space group ... Pm-3m, No. 221

Cell lengths 5.272, 5.272, 5.272 Å; angles 90.00, 90.00, 90.00 degrees
Fractional positions:
Mg  0.000  0.000  0.000
Sb  0.000  0.500  0.500
Sb  0.500  0.000  0.500
Sb  0.500  0.500  0.000
Mo  0.500  0.500  0.500

=====

Q) The following is a PBE calculation of an optimized crystal structure of MgSb3Mo, from Alexandria via LeMat-Bulk.

Calculated volume ... 148.1 Å³ per cell
Space group ... Pm-3m, No. 221

Cell lengths 5.290, 5.290, 5.290 Å; angles 90.00, 90.00, 90.00 degrees
Fractional positions:
Mg  0.000  0.000  0.000
Sb  0.000  0.000  0.500
Sb  0.000  0.500  0.000
Sb  0.500  0.000  0.000
Mo  0.500  0.500  0.500

=====

Unit: meV/atom. Relative energies: P) 0; Q) 736.

=====

P) The following is a PBE calculation of an optimized crystal structure of MgSb2TeMo, from Alexandria via LeMat-Bulk.

Calculated volume ... 151.4 Å³ per cell
Space group ... P4/mmm, No. 123

Cell lengths 5.277, 5.277, 5.437 Å; angles 90.00, 90.00, 90.00 degrees
Fractional positions:
Mg  0.000  0.000  0.000
Sb  0.000  0.500  0.000
Sb  0.500  0.000  0.000
Te  0.000  0.000  0.500
Mo  0.500  0.500  0.500

=====

Q) The following is a PBE calculation of an optimized crystal structure of MgSb2TeMo, from Alexandria via LeMat-Bulk.

Calculated volume ... 149.0 Å³ per cell
Space group ... P4/mmm, No. 123

Cell lengths 5.246, 5.246, 5.416 Å; angles 90.00, 90.00, 90.00 degrees
Fractional positions:
Mg  0.000  0.000  0.000
Sb  0.000  0.500  0.500
Sb  0.500  0.000  0.500
Te  0.500  0.500  0.000
Mo  0.500  0.500  0.500

=====

Unit: meV/atom. Relative energies: P) 677; Q) 0.